Entry from the Alexandria database: a relaxed structure of Sr2ScAu (PBE).

Summary:
size of the total moment = 0.44 μB per formula unit
energy above the most stable polymorph in this dataset = 0.2494 eV per atom
DFT total energy = -3.291 eV/atom
ΔH_f (0 K) = -48 meV per atom
space-group type = I-42d

a b c (Å): 11.241 11.241 8.380
angles (deg): 47.88 47.88 90.00
Sites, in units of the cell vectors:
Sr  0.875  0.019  0.750
Sr  0.769  0.125  0.250
Sr  0.375  0.231  0.750
Sr  0.981  0.625  0.250
Sc  0.500  0.500  0.000
Sc  0.250  0.750  0.500
Au  0.750  0.250  0.500
Au  0.000  0.000  0.000

Entry from the Alexandria database: a relaxed structure of SrSc2Au (PBE).

Summary:
size of the total moment = 1.07 μB per formula unit
energy above the most stable polymorph in this dataset = 0.2888 eV per atom
DFT total energy = -4.389 eV/atom
ΔH_f (0 K) = 16 meV per atom
space-group type = Fm-3m

a b c (Å): 5.132 5.132 5.132
angles (deg): 60.00 60.00 60.00
Sites, in units of the cell vectors:
Sc  0.750  0.750  0.750
Sc  0.250  0.250  0.250
Au  0.500  0.500  0.500
Sr  0.000  0.000  0.000

Entry from the Alexandria database: a relaxed structure of SrSc3Au (PBE).

Summary:
size of the total moment = 0.00 μB per formula unit
energy above the most stable polymorph in this dataset = 0.0000 eV per atom
DFT total energy = -4.839 eV/atom
ΔH_f (0 K) = -48 meV per atom
space-group type = Pm-3m

a b c (Å): 5.334 5.334 5.334
angles (deg): 90.00 90.00 90.00
Sites, in units of the cell vectors:
Sc  0.000  0.000  0.500
Sc  0.000  0.500  0.000
Sc  0.500  0.000  0.000
Sr  0.500  0.500  0.500
Au  0.000  0.000  0.000

Entry from the Alexandria database: a relaxed structure of SrScTe3Au (PBE).

Summary:
size of the total moment = 0.00 μB per formula unit
DFT total energy = -4.553 eV/atom
space-group type = P2_1/m

a b c (Å): 4.290 8.356 10.218
angles (deg): 104.69 90.00 90.00
Sites, in units of the cell vectors:
Te  0.750  0.914  0.135
Te  0.250  0.570  0.864
Te  0.750  0.430  0.136
Te  0.750  0.288  0.540
Te  0.250  0.086  0.865
Te  0.250  0.712  0.460
Sc  0.250  0.682  0.169
Sc  0.750  0.318  0.831
Au  0.250  0.086  0.594
Au  0.750  0.914  0.406
Sr  0.750  0.785  0.721
Sr  0.250  0.215  0.279